# PBEsol Cu3Rh2, optimized geometry
data_Cu3Rh2
_space_group_name_H-M_alt 'R -3 m'
_space_group_IT_number 166
_space_group_name_Hall '-R 3 2"'
_cell_length_a 2.6105
_cell_length_b 2.6105
_cell_length_c 31.4523
_cell_angle_alpha 90.00
_cell_angle_beta 90.00
_cell_angle_gamma 120.00
loop_
_atom_site_label
_atom_site_type_symbol
_atom_site_fract_x
_atom_site_fract_y
_atom_site_fract_z
Cu1 Cu 0.0000 0.0000 0.0000
Cu2 Cu 0.0000 0.0000 0.1983
Rh1 Rh 0.0000 0.0000 0.4009
# ρ ... 10.64 g/cm³
# Formation energy from the elements ... 0.061 eV per atom
# Magnetic moment ... 0.0003 μB per atom
# Volume ... 185.6 Å³/cell